Density functional theory data (GGA-PBE) for Rb6H2I3Cl after structural relaxation.

CIF file:
```
data_Rb6H2I3Cl
_symmetry_space_group_name_H-M 'C 1 2/m 1'
_symmetry_Int_Tables_number 12
_cell_length_a 8.422
_cell_length_b 14.581
_cell_length_c 8.593
_cell_angle_alpha 90.00
_cell_angle_beta 109.10
_cell_angle_gamma 90.00
loop_
_symmetry_equiv_pos_as_xyz
'x,y,z'
'-x,-y,-z'
'-x,y,-z'
'x,-y,z'
'x+1/2,y+1/2,z'
'-x+1/2,-y+1/2,-z'
'-x+1/2,y+1/2,-z'
'x+1/2,-y+1/2,z'
loop_
_atom_site_label
_atom_site_fract_x
_atom_site_fract_y
_atom_site_fract_z
Rb1 0.227 0.000 0.210
Rb2 0.243 0.328 0.213
H1 0.000 0.167 0.000
I1 0.000 0.000 0.500
I2 0.000 0.337 0.500
Cl1 0.000 0.500 0.000
```

Results
DOS at the Fermi energy = 0.00 states/eV/cell
V = 997.1 Å³/cell
uncorrected energy = -64.207 eV for the cell shown
size of the total moment = 0.090 μB/f.u.